## LaTh4Pt5 (PBE)

Data for a relaxed LaTh4Pt5 crystal.

Structure (POSCAR):
```
LaTh4Pt5
1.0
-0.4267 4.1281 -0.7776
-6.6926 1.8638 2.1032
1.1470 3.8815 8.5133
La Th Pt
1 4 5
direct
0.0000 0.0000 0.0000
0.5992 0.2020 0.5997
0.2006 0.3977 0.2011
0.7994 0.6023 0.7989
0.4008 0.7980 0.4003
0.2022 0.9008 0.6947
0.7978 0.0992 0.3053
0.3961 0.3116 0.8962
0.0000 0.5000 0.5000
0.6039 0.6884 0.1038
```

Properties
DOS at the Fermi energy = 5.58 states/eV/cell
Energy of formation = -1.20 eV/atom